Here is an optimized crystal structure of Rb2CeMnO4 from Alexandria. Energies are from GGA+U.

The structure in extended XYZ format:
```
8
Lattice="5.8595 0.0000 0.0000 0.0000 3.5839 0.0000 -1.9873 0.0000 6.5099" Properties=species:S:1:pos:R:3 pbc="T T T"
Rb 0.0000 0.0000 0.0000
Rb 2.9298 1.7919 0.0000
Ce -0.9936 1.7919 3.2550
Mn 1.9361 0.0000 3.2550
O -0.0394 0.0000 4.4144
O 0.9000 1.7919 2.1111
O 2.9722 1.7919 4.3988
O 3.9116 0.0000 2.0955
```

DFT total energy	-6.521	eV/atom

Here is an optimized crystal structure of RbCeMnO4 from Alexandria. Energies are from GGA+U.

The structure in extended XYZ format:
```
14
Lattice="-3.4585 3.7596 4.4790 3.4585 -3.7596 4.4790 3.4585 3.7596 -4.4790" Properties=species:S:1:pos:R:3 pbc="T T T"
Rb 0.0000 1.8798 1.1828
Rb 3.4585 1.8798 3.2961
Ce 3.4585 0.0000 0.0000
Ce 0.0000 0.0000 4.4790
Mn 1.7293 1.8798 -2.2395
Mn 1.7293 -1.8798 2.2395
O 3.4585 -0.4723 2.1193
O 3.4585 3.2873 -2.1193
O 2.0581 1.8798 -0.2983
O 4.8590 1.8798 -0.2983
O -1.4004 1.8798 4.7773
O 1.4004 1.8798 4.7773
O 0.0000 0.4723 6.5983
O 0.0000 4.2318 2.3596
```

DFT total energy	-7.061	eV/atom

Here is an optimized crystal structure of CeMn2ReO8 from Alexandria. Energies are from GGA+U.

The structure in extended XYZ format:
```
12
Lattice="3.3379 -3.5090 0.0000 3.3379 3.5090 0.0000 0.0000 0.0000 6.5235" Properties=species:S:1:pos:R:3 pbc="T T T"
Ce 0.0000 0.0000 0.0000
Mn 3.3379 0.0000 1.6735
Mn 3.3379 0.0000 4.8500
Re 0.0000 0.0000 3.2618
O 3.3379 2.2021 1.8913
O 3.3379 2.2021 4.6322
O 1.9311 0.0000 3.2618
O 2.1235 0.0000 0.0000
O 4.5523 0.0000 0.0000
O 4.7447 0.0000 3.2618
O 3.3379 -2.2021 1.8913
O 3.3379 -2.2021 4.6322
```

DFT total energy	-8.069	eV/atom

Here is an optimized crystal structure of Ce2MnSb2O from Alexandria. Energies are from GGA+U.

The structure in extended XYZ format:
```
6
Lattice="3.2666 0.0000 0.0000 0.0000 3.2666 0.0000 0.0000 0.0000 15.9467" Properties=species:S:1:pos:R:3 pbc="T T T"
Ce 0.0000 0.0000 2.0653
Ce 0.0000 0.0000 13.8814
Mn 0.0000 0.0000 7.9734
Sb 0.0000 0.0000 5.2497
Sb 0.0000 0.0000 10.6970
O 0.0000 0.0000 0.0000
```

DFT total energy	-5.765	eV/atom

Here is an optimized crystal structure of CeMn2SbO6 from Alexandria. Energies are from GGA+U.

The structure in extended XYZ format:
```
10
Lattice="5.5401 0.0000 0.0000 -2.7671 5.0274 0.0000 -0.0248 -3.2139 4.8536" Properties=species:S:1:pos:R:3 pbc="T T T"
Ce 0.0000 0.0000 0.0000
Mn -0.0643 0.1441 4.2241
Mn 2.8249 1.7564 1.7378
Sb 0.1722 3.4338 2.3994
O -1.5788 3.2290 0.6788
O -1.1724 1.4845 3.3239
O 0.8743 2.1531 0.8411
O 1.6051 0.6248 3.3380
O 3.4956 -0.1056 0.9987
O 4.9309 -1.6743 3.1639
```

DFT total energy	-7.458	eV/atom

Here is an optimized crystal structure of CeMnSbO from Alexandria. Energies are from GGA+U.

The structure in extended XYZ format:
```
8
Lattice="4.1935 0.0000 0.0000 0.0000 4.1935 0.0000 0.0000 0.0000 9.5049" Properties=species:S:1:pos:R:3 pbc="T T T"
Ce 1.0484 1.0484 1.1411
Ce 3.1451 3.1451 8.3638
Mn 1.0484 3.1451 4.7524
Mn 3.1451 1.0484 4.7524
Sb 1.0484 1.0484 6.6449
Sb 3.1451 3.1451 2.8600
O 1.0484 3.1451 0.0000
O 3.1451 1.0484 0.0000
```

DFT total energy	-7.189	eV/atom

Here is an optimized crystal structure of Ce2Mn2Se2O3 from Alexandria. Energies are from GGA+U.

The structure in extended XYZ format:
```
9
Lattice="-2.0765 2.0765 9.3637 2.0765 -2.0765 9.3637 2.0765 2.0765 -9.3637" Properties=species:S:1:pos:R:3 pbc="T T T"
Ce 0.0000 0.0000 3.5201
Ce 0.0000 0.0000 15.2073
Mn 2.0765 0.0000 0.0000
Mn 0.0000 2.0765 0.0000
Se 0.0000 0.0000 7.4348
Se 0.0000 0.0000 11.2925
O 0.0000 0.0000 0.0000
O 2.0765 0.0000 4.6818
O 0.0000 2.0765 4.6818
```

DFT total energy	-7.510	eV/atom

Here is an optimized crystal structure of Ce2MnSe2O2 from Alexandria. Energies are from GGA+U.

The structure in extended XYZ format:
```
7
Lattice="5.8241 -1.9545 0.0000 5.8241 1.9545 0.0000 -3.7662 0.0000 6.0753" Properties=species:S:1:pos:R:3 pbc="T T T"
Ce 1.2805 0.0000 1.4641
Ce 6.6016 0.0000 4.6111
Mn -1.8831 0.0000 3.0376
Se 4.4419 0.0000 1.0803
Se 3.4402 0.0000 4.9950
O 0.1470 0.0000 3.5542
O 7.7350 0.0000 2.5211
```

distance to the lowest polymorph of the same formula	17	meV per atom

Calculated total magnetization (μB/cell), listed in the same order as above: 5.0, 8.0, 9.0, 3.4, 9.0, 7.8, 8.0, 7.0